Model 1:
PuCdIn after structural relaxation, computed with GGA-PBE.

POSCAR file:
```
PuCdIn
1.0
3.5164 0.0000 0.0000
-1.7582 5.4353 0.0471
0.0000 -2.5495 7.1934
Cd In Pu
2 2 2
Cartesian
0.0000 -1.6128 5.3730
1.7582 4.4986 1.8674
1.7582 1.5215 0.6937
0.0000 1.3643 6.5468
0.0000 2.1309 3.3404
1.7582 0.7549 3.9001
```

## Properties
Total magnetic moment ... 0.000 Bohr magnetons per cell
Calculated volume ... 23.0 Å³/atom


Model 2:
PuCdIn after structural relaxation, computed with GGA-PBE.

POSCAR file:
```
PuCdIn
1.0
3.2414 0.0000 0.0000
0.0000 3.2414 0.0000
-1.6207 -1.6207 7.0705
Pu In Cd
1 1 1
Cartesian
0.0000 0.0000 0.0030
0.0000 0.0000 4.6581
1.6207 1.6207 2.4094
```

## Properties
Total magnetic moment ... 5.705 Bohr magnetons per cell
Calculated volume ... 24.8 Å³/atom


Which structure is the most stable? The one labeled model 2.


Model 1:
PuCdInRh after structural relaxation, computed with GGA-PBE.

POSCAR file:
```
PuCdInRh
1.0
4.9433 0.0000 0.0000
2.4716 4.2810 0.0000
2.4716 1.4270 4.0361
In Rh Cd Pu
1 1 1 1
Cartesian
0.0000 0.0000 0.0000
2.4716 1.4270 1.0090
7.4149 4.2810 3.0271
4.9433 2.8540 2.0181
```

## Properties
Total magnetic moment ... 5.130 Bohr magnetons per cell
Calculated volume ... 21.4 Å³/atom


Model 2:
PuCdInRh after structural relaxation, computed with GGA-PBE.

POSCAR file:
```
PuCdInRh
1.0
-0.6675 2.5511 -1.8838
-2.5663 -1.5656 -1.2108
-4.7310 3.1626 5.9510
In Pu Cd Rh
1 1 1 1
Cartesian
-3.3911 2.4639 0.9344
-1.3859 1.1263 -1.5870
-5.6439 1.2824 2.9122
-3.4051 -0.2180 0.0949
```

## Properties
Total magnetic moment ... 5.285 Bohr magnetons per cell
Calculated volume ... 21.6 Å³/atom


Which structure is the most stable? The one labeled model 2.


Model 1:
RbCdIn after structural relaxation, computed with GGA-PBE.

POSCAR file:
```
RbCdIn
1.0
-2.1537 -2.2198 3.6538
-2.3827 -3.2364 -3.3706
4.6842 -1.2700 1.9894
Rb In Cd
1 1 1
Cartesian
-1.4628 -4.0608 0.8519
-0.3588 -0.3699 0.6088
1.9695 -2.2955 0.8119
```

## Properties
Total magnetic moment ... 0.000 Bohr magnetons per cell
Calculated volume ... 38.0 Å³/atom


Model 2:
RbCdIn after structural relaxation, computed with GGA-PBE.

POSCAR file:
```
RbCdIn
1.0
3.6346 0.0029 -0.0006
0.0008 7.1262 -0.0033
-1.8159 -3.5655 8.2057
Cd In Rb
2 2 2
Cartesian
-0.2139 2.5989 1.1226
1.6028 -0.9639 5.9173
-0.2147 -2.9145 7.6232
-0.2147 0.9841 7.6229
-0.2141 -0.9644 2.4694
1.6035 2.5994 4.5708
```

## Properties
Total magnetic moment ... 0.000 Bohr magnetons per cell
Calculated volume ... 35.4 Å³/atom


Model 3:
RbCdIn after structural relaxation, computed with GGA-PBE.

POSCAR file:
```
RbCdIn
1.0
4.7167 0.0026 0.0031
2.3556 5.8841 3.6352
-0.0031 0.9923 8.7659
In Cd Rb
2 2 2
Cartesian
3.0428 1.4618 6.5982
0.6813 2.4363 8.8188
5.3993 5.6692 4.4284
5.4020 3.1234 5.8612
3.0415 5.5421 7.5489
3.0422 3.2482 2.7385
```

## Properties
Total magnetic moment ... 0.000 Bohr magnetons per cell
Calculated volume ... 37.7 Å³/atom


Which structure is the most stable? The one labeled model 3.


Model 1:
RbCdIn6 after structural relaxation, computed with GGA-PBE.

POSCAR file:
```
RbCdIn6
1.0
5.0296 0.0000 1.5396
2.2792 4.4836 1.5396
-0.5924 -0.3634 10.9206
Rb In Cd
1 6 1
Cartesian
3.3582 2.0601 6.9999
0.2669 0.1637 8.1134
1.7683 1.0848 3.2085
6.4495 3.9565 5.8863
4.5816 2.8105 3.0034
4.9481 3.0354 10.7913
2.1349 1.3096 10.9964
0.0000 0.0000 0.0000
```

## Properties
Total magnetic moment ... 0.000 Bohr magnetons per cell
Calculated volume ... 31.5 Å³/atom


Model 2:
RbCdIn6 after structural relaxation, computed with GGA-PBE.

POSCAR file:
```
RbCdIn6
1.0
-3.8310 -3.5443 0.4395
3.5541 -3.7200 0.9808
-0.6092 1.7598 8.8823
In Rb Cd
6 1 1
Cartesian
-2.3246 -0.5902 6.1856
1.3679 -0.6780 6.4562
-0.6494 -2.1559 8.1611
1.5770 -1.2821 3.4069
-0.2366 -3.3485 2.1415
-2.1155 -1.1943 3.1362
0.0000 0.0000 0.0000
-0.3046 0.8799 4.4412
```

## Properties
Total magnetic moment ... 0.000 Bohr magnetons per cell
Calculated volume ... 31.1 Å³/atom


Which structure is the most stable? The one labeled model 2.


Model 1:
Rb2CdIn2 after structural relaxation, computed with GGA-PBE.

POSCAR file:
```
Rb2CdIn2
1.0
-2.9396 -8.5558 6.7863
8.9114 2.1828 6.6121
-1.9116 2.1399 1.8699
In Cd Rb
4 2 4
Cartesian
4.0483 1.5762 5.4714
5.3975 -2.0112 10.9562
-1.3373 -2.2218 4.3121
0.0119 -5.8092 9.7970
0.0000 0.0000 0.0000
2.9859 -3.1865 6.6992
2.0892 -1.0529 3.3409
-0.2773 -5.5505 6.0686
3.8825 -5.3201 10.0576
6.2491 -0.8225 7.3298
```

## Properties
Total magnetic moment ... 0.000 Bohr magnetons per cell
Calculated volume ... 43.8 Å³/atom


Model 2:
Rb2CdIn2 after structural relaxation, computed with GGA-PBE.

POSCAR file:
```
Rb2CdIn2
1.0
-6.6209 4.1095 -1.3215
-2.4524 -5.5721 -5.0406
-2.8121 -3.0179 4.7042
Rb In Cd
4 4 2
Cartesian
-7.9242 -3.2720 -2.6754
-3.9612 -1.2085 1.0174
-7.6091 0.0796 -0.3369
-4.2763 -4.5600 -1.3210
-7.2992 0.0511 -4.3306
-4.5029 1.8625 -1.4969
-4.5704 -3.3251 -4.8652
-1.7740 -1.5136 -2.0315
-4.5366 -0.7313 -3.1811
0.0000 0.0000 0.0000
```

## Properties
Total magnetic moment ... 0.000 Bohr magnetons per cell
Calculated volume ... 39.1 Å³/atom


Model 3:
Rb2CdIn2 after structural relaxation, computed with GGA-PBE.

POSCAR file:
```
Rb2CdIn2
1.0
7.2177 -0.1590 0.0000
-1.7820 6.9961 0.0000
0.0000 0.0000 9.0947
Rb In Cd
4 4 2
Cartesian
-0.0873 5.6488 4.5473
5.5231 1.1883 0.0000
-0.0873 5.6488 0.0000
5.5231 1.1883 4.5473
1.9036 2.3943 3.7460
1.9036 2.3943 0.8014
3.5322 4.4428 8.2933
3.5322 4.4428 5.3487
1.8078 2.2738 6.8210
3.6280 4.5633 2.2737
```

## Properties
Total magnetic moment ... 0.000 Bohr magnetons per cell
Calculated volume ... 45.7 Å³/atom


Which structure is the most stable? The one labeled model 3.


Model 1:
RbCd4In after structural relaxation, computed with GGA-PBE.

POSCAR file:
```
RbCd4In
1.0
3.9581 0.0000 0.0000
0.0000 9.7538 0.0000
0.0000 0.0000 18.9674
Cd In Rb
16 4 4
Cartesian
1.9791 1.2784 18.3268
1.9791 8.4754 0.6406
1.9791 1.1555 10.4031
1.9791 2.8005 5.8965
1.9791 3.7213 0.9194
1.9791 6.9533 13.0710
1.9791 8.5982 8.5644
1.9791 6.0324 18.0481
1.9791 7.6774 3.5873
1.9791 2.0764 15.3802
1.9791 4.6232 3.6815
1.9791 5.1306 15.2860
1.9791 0.2537 13.1652
1.9791 9.5000 5.8022
1.9791 6.1553 10.1243
1.9791 3.5985 8.8431
0.0000 6.1907 1.6824
0.0000 8.4399 11.1661
0.0000 3.5630 17.2850
0.0000 1.3139 7.8013
0.0000 3.6704 12.3676
0.0000 8.5472 16.0835
0.0000 6.0834 6.5998
0.0000 1.2065 2.8839
```

## Properties
Total magnetic moment ... 0.000 Bohr magnetons per cell
Calculated volume ... 30.5 Å³/atom


Model 2:
RbCd4In after structural relaxation, computed with GGA-PBE.

POSCAR file:
```
RbCd4In
1.0
6.2619 0.0000 0.0000
3.1310 5.4230 0.0000
3.1310 1.8077 5.1128
Cd Rb In
4 1 1
Cartesian
7.8301 4.5207 3.1966
6.2619 1.8046 3.1966
6.2619 3.6153 0.6358
4.6938 4.5207 3.1966
3.1310 1.8077 1.2782
0.0000 0.0000 0.0000
```

## Properties
Total magnetic moment ... 0.000 Bohr magnetons per cell
Calculated volume ... 28.9 Å³/atom


Which structure is the most stable? The one labeled model 1.


Model 1:
RbCd2In2 after structural relaxation, computed with GGA-PBE.

POSCAR file:
```
RbCd2In2
1.0
-2.0093 3.0286 3.3376
1.5413 -2.9722 3.6249
5.3158 3.3286 3.8276
Rb Cd In
1 2 2
Cartesian
0.0000 0.0000 0.0000
1.0145 0.7707 3.5591
3.8331 2.6143 7.2309
3.3115 0.1923 5.4669
1.5362 3.1927 5.3232
```

## Properties
Total magnetic moment ... 0.000 Bohr magnetons per cell
Calculated volume ... 31.5 Å³/atom


Model 2:
RbCd2In2 after structural relaxation, computed with GGA-PBE.

POSCAR file:
```
RbCd2In2
1.0
9.4720 0.0000 0.0000
0.0000 9.4720 0.0000
0.0000 0.0000 3.2617
In Cd Rb
4 4 2
Cartesian
8.0476 3.3117 1.6308
6.1603 8.0476 1.6308
3.3117 1.4243 1.6308
1.4243 6.1603 1.6308
6.0568 1.3209 0.0000
8.1511 6.0568 0.0000
3.4151 8.1511 0.0000
1.3209 3.4151 0.0000
0.0000 0.0000 0.0000
4.7360 4.7360 0.0000
```

## Properties
Total magnetic moment ... 0.000 Bohr magnetons per cell
Calculated volume ... 29.3 Å³/atom


Model 3:
RbCd2In2 after structural relaxation, computed with GGA-PBE.

POSCAR file:
```
RbCd2In2
1.0
-0.6112 -6.7241 -3.3188
3.1613 -0.9433 -6.4843
5.4906 -5.5390 1.8567
Cd In Rb
4 4 2
Cartesian
5.6348 -7.7070 -4.6388
2.4059 -5.4993 -3.3075
1.6759 -3.4094 -1.2062
6.3647 -9.7969 -6.7401
2.9931 -8.3278 -3.2192
5.0476 -4.8785 -4.7271
2.2641 -4.2123 -6.0332
5.7765 -8.9940 -1.9131
5.0725 -5.3645 -0.5913
2.9681 -7.8417 -7.3551
```

## Properties
Total magnetic moment ... 0.000 Bohr magnetons per cell
Calculated volume ... 34.3 Å³/atom


Which structure is the most stable? The one labeled model 1.


Model 1:
RbCd2In2 after structural relaxation, computed with GGA-PBE.

POSCAR file:
```
RbCd2In2
1.0
-1.2702 -2.4028 9.0857
7.6942 -5.5304 -0.3869
1.8597 2.5224 0.9271
Cd Rb In
4 2 4
Cartesian
6.5972 -4.9851 6.0901
2.5094 -2.6752 8.0053
1.6865 -0.4257 3.5358
5.7743 -2.7356 1.6206
0.0000 0.0000 0.0000
3.2120 -3.9666 4.3494
0.2304 -2.2703 5.7149
3.7847 -5.5894 7.6160
2.6393 -2.3438 1.0828
6.1936 -5.6630 2.9839
```

## Properties
Total magnetic moment ... 0.000 Bohr magnetons per cell
Calculated volume ... 29.4 Å³/atom


Model 2:
RbCd2In2 after structural relaxation, computed with GGA-PBE.

POSCAR file:
```
RbCd2In2
1.0
4.9380 0.0000 0.0000
0.0000 4.9380 0.0000
0.0000 0.0000 12.8313
Rb In Cd
2 4 4
Cartesian
0.0000 2.4690 9.6427
2.4690 0.0000 3.1887
0.0000 2.4690 1.6853
0.0000 0.0000 6.4157
2.4690 0.0000 11.1460
2.4690 2.4690 6.4157
0.0000 2.4690 4.6413
2.4690 0.0000 8.1901
2.4690 2.4690 0.0000
0.0000 0.0000 0.0000
```

## Properties
Total magnetic moment ... 0.000 Bohr magnetons per cell
Calculated volume ... 31.3 Å³/atom


Which structure is the most stable? The one labeled model 2.


Model 1:
RbTl2CdIn after structural relaxation, computed with GGA-PBE.

POSCAR file:
```
RbTl2CdIn
1.0
5.8337 0.0000 0.0000
0.0000 5.9668 0.0000
0.0000 -2.9834 10.0427
Rb Tl In Cd
2 4 2 2
Cartesian
4.5722 0.0000 5.0213
1.2615 2.9834 5.0213
1.8200 0.0000 2.5939
4.0137 2.9834 7.4487
4.0137 2.9834 2.5939
1.8200 0.0000 7.4487
2.9169 1.4917 0.0000
2.9169 4.4751 0.0000
0.0000 2.9834 0.0000
0.0000 0.0000 0.0000
```

## Properties
Total magnetic moment ... 0.000 Bohr magnetons per cell
Calculated volume ... 35.0 Å³/atom


Model 2:
RbTl2CdIn after structural relaxation, computed with GGA-PBE.

POSCAR file:
```
RbTl2CdIn
1.0
6.0412 0.0000 0.0000
0.0000 6.0412 0.0000
0.0000 0.0000 5.6101
Cd In Tl Rb
1 1 2 1
Cartesian
0.0000 0.0000 2.8051
0.0000 0.0000 0.0000
0.0000 3.0206 0.0000
3.0206 0.0000 0.0000
3.0206 3.0206 2.8051
```

## Properties
Total magnetic moment ... 0.000 Bohr magnetons per cell
Calculated volume ... 40.9 Å³/atom


Which structure is the most stable? The one labeled model 1.


Model 1:
Cd2InRh2 after structural relaxation, computed with GGA-PBE.

POSCAR file:
```
Cd2InRh2
1.0
-3.8002 0.5201 -0.2483
-0.3269 -0.5810 3.7854
-1.2013 6.8059 2.8922
Cd Rh In
2 2 1
Cartesian
-1.8787 1.4347 2.0094
-3.4496 5.3103 4.4200
-3.5325 3.6478 2.2062
-1.7958 3.0972 4.2231
0.0000 0.0000 0.0000
```

## Properties
Total magnetic moment ... 0.465 Bohr magnetons per cell
Calculated volume ... 20.6 Å³/atom


Model 2:
Cd2InRh2 after structural relaxation, computed with GGA-PBE.

POSCAR file:
```
Cd2InRh2
1.0
6.7887 0.0000 0.0000
0.0000 6.7887 0.0000
0.0000 0.0000 4.1436
Rh Cd In
4 4 2
Cartesian
0.9357 2.4586 0.0000
4.3300 0.9357 0.0000
5.8529 4.3300 0.0000
2.4586 5.8529 0.0000
1.0841 4.4784 2.0718
4.4784 5.7046 2.0718
5.7046 2.3102 2.0718
2.3102 1.0841 2.0718
0.0000 0.0000 0.0000
3.3943 3.3943 0.0000
```

## Properties
Total magnetic moment ... 0.000 Bohr magnetons per cell
Calculated volume ... 19.1 Å³/atom


Model 3:
Cd2InRh2 after structural relaxation, computed with GGA-PBE.

POSCAR file:
```
Cd2InRh2
1.0
7.6918 0.0000 0.0000
0.0000 7.6918 0.0000
0.0000 0.0000 3.1308
Rh Cd In
4 4 2
Cartesian
5.1496 6.3882 1.5654
2.5422 1.3037 1.5654
6.3882 2.5422 1.5654
1.3037 5.1496 1.5654
6.6995 4.8382 0.0000
2.8536 6.6995 0.0000
0.9923 2.8536 0.0000
4.8382 0.9923 0.0000
0.0000 0.0000 0.0000
3.8459 3.8459 0.0000
```

## Properties
Total magnetic moment ... 0.000 Bohr magnetons per cell
Calculated volume ... 18.5 Å³/atom


Model 4:
Cd2InRh2 after structural relaxation, computed with GGA-PBE.

POSCAR file:
```
Cd2InRh2
1.0
3.9387 0.0000 0.0000
0.0000 3.9387 0.0000
1.9693 1.9693 6.4101
Rh Cd In
2 2 1
Cartesian
3.9387 3.9387 5.1517
1.9693 1.9693 1.2584
3.9387 1.9693 3.2051
1.9693 3.9387 3.2051
0.0000 0.0000 0.0000
```

## Properties
Total magnetic moment ... 0.000 Bohr magnetons per cell
Calculated volume ... 19.9 Å³/atom


Which structure is the most stable? The one labeled model 2.